CsSrC2O6 after structural relaxation, computed with PBE.

The structure in POSCAR format:
```
CsSrC2O6
1.0
4.7102 -5.2150 0.0000
4.7102 5.2150 0.0000
-3.0743 0.0000 7.1693
Cs Sr C O
2 2 4 12
direct
0.1216 0.8784 0.7500 Cs
0.8784 0.1216 0.2500 Cs
0.3913 0.6087 0.2500 Sr
0.6087 0.3913 0.7500 Sr
0.1531 0.3927 0.7558 C
0.3927 0.1531 0.2558 C
0.6073 0.8469 0.7442 C
0.8469 0.6073 0.2442 C
0.0355 0.6071 0.2737 O
0.2175 0.2634 0.6441 O
0.2634 0.2175 0.1441 O
0.2840 0.5264 0.8974 O
0.3929 0.9645 0.2263 O
0.4736 0.7160 0.6026 O
0.5264 0.2840 0.3974 O
0.6071 0.0355 0.7737 O
0.7160 0.4736 0.1026 O
0.7366 0.7825 0.8559 O
0.7825 0.7366 0.3559 O
0.9645 0.3929 0.7263 O
```

Summary:
SG ... C2/c (15)
Volume ... 17.61 A^3/atom
Total moment ... 0.101 μB/atom

=====

NaP3Pb after structural relaxation, computed with PBE.

The structure in POSCAR format:
```
NaP3Pb
1.0
4.9323 0.0000 0.0000
0.0000 4.9323 0.0000
0.0000 0.0000 4.9323
Na P Pb
1 3 1
direct
0.0000 0.0000 0.0000 Na
0.0000 0.0000 0.5000 P
0.0000 0.5000 0.0000 P
0.5000 0.0000 0.0000 P
0.5000 0.5000 0.5000 Pb
```

Summary:
SG ... Pm-3m (221)
Polymorph energy (0 for the lowest one) ... 0.610 eV per formula unit
Volume ... 24.00 A^3/atom
Calculated formation energy ... 1.135 eV per atom
Total moment ... 0.000 μB/atom

=====

Ca5Sb2O after structural relaxation, computed with PBE.

The structure in POSCAR format:
```
Ca5Sb2O
1.0
-3.5064 3.5064 4.7075
3.5064 -3.5064 4.7075
3.5064 3.5064 -4.7075
Ca Sb O
5 2 1
direct
0.0000 0.0000 0.0000 Ca
0.5040 0.5040 0.5221 Ca
0.5040 0.9819 0.0000 Ca
0.9819 0.5040 0.0000 Ca
0.9819 0.9819 0.4779 Ca
0.4955 0.9955 0.5000 Sb
0.9955 0.4955 0.5000 Sb
0.7667 0.7667 0.0000 O
```

Summary:
SG ... I4mm (107)
Volume ... 28.94 A^3/atom
Total moment ... 0.000 μB/atom

=====

TlTcNi2 after structural relaxation, computed with PBE.

The structure in POSCAR format:
```
TlTcNi2
1.0
-3.4378 3.4378 2.7352
3.4378 -3.4378 2.7352
3.4378 3.4378 -2.7352
Tl Tc Ni
2 2 4
direct
0.0000 0.0000 0.0000 Tl
0.7500 0.2500 0.5000 Tl
0.2500 0.7500 0.5000 Tc
0.5000 0.5000 0.0000 Tc
0.1531 0.6250 0.0281 Ni
0.3750 0.4031 0.5281 Ni
0.5969 0.1250 0.9719 Ni
0.8750 0.8469 0.4719 Ni
```

Summary:
SG ... I-42d (122)
Polymorph energy (0 for the lowest one) ... 1.576 eV per formula unit
Volume ... 16.16 A^3/atom
Calculated formation energy ... 0.743 eV per atom
Total moment ... 0.000 μB/atom

=====

TlAu3 after structural relaxation, computed with PBE.

The structure in POSCAR format:
```
TlAu3
1.0
-1.7140 4.7478 2.4883
1.7140 -4.7478 2.4883
1.7140 4.7478 -2.4883
Tl Au
1 3
direct
0.0000 0.0000 0.0000 Tl
0.3915 0.6302 0.7613 Au
0.4770 0.9770 0.5000 Au
0.8689 0.6302 0.2387 Au
```

Summary:
SG ... Imm2 (44)
Volume ... 20.25 A^3/atom
Calculated formation energy ... 0.078 eV per atom
Total moment ... 0.000 μB/atom

=====

La3Nd2Sm2 after structural relaxation, computed with PBE.

The structure in POSCAR format:
```
La3Nd2Sm2
1.0
3.6924 0.0000 0.0000
1.8387 6.1344 0.0000
0.0216 1.1562 11.0083
La Nd Sm
3 2 2
direct
0.0000 0.0000 0.0000 La
0.1450 0.7129 0.5714 La
0.8550 0.2871 0.4286 La
0.2856 0.4292 0.1423 Nd
0.7144 0.5708 0.8577 Nd
0.4280 0.1441 0.7148 Sm
0.5720 0.8559 0.2852 Sm
```

Summary:
SG ... P-1 (2)
Polymorph energy (0 for the lowest one) ... 0.000 eV per formula unit
Volume ... 35.62 A^3/atom
Calculated formation energy ... 0.019 eV per atom
Total moment ... 0.000 μB/atom

=====

Ce4Ag3Bi8 after structural relaxation, computed with PBE.

The structure in POSCAR format:
```
Ce4Ag3Bi8
1.0
4.6033 0.0000 0.0000
0.0000 4.6033 0.0000
0.0000 0.0000 20.2895
Ce Ag Bi
4 3 8
direct
0.0000 0.5000 0.1165 Ce
0.0000 0.5000 0.6285 Ce
0.5000 0.0000 0.3715 Ce
0.5000 0.0000 0.8835 Ce
0.0000 0.0000 0.0000 Ag
0.0000 0.0000 0.5000 Ag
0.5000 0.5000 0.5000 Ag
0.0000 0.0000 0.2440 Bi
0.0000 0.0000 0.7560 Bi
0.0000 0.5000 0.4037 Bi
0.0000 0.5000 0.9154 Bi
0.5000 0.0000 0.0846 Bi
0.5000 0.0000 0.5963 Bi
0.5000 0.5000 0.2446 Bi
0.5000 0.5000 0.7554 Bi
```

Summary:
SG ... P-4m2 (115)
Volume ... 28.66 A^3/atom
Calculated formation energy ... -0.492 eV per atom
Total moment ... 0.154 μB/atom

=====

TbTaS3 after structural relaxation, computed with PBE.

The structure in POSCAR format:
```
TbTaS3
1.0
3.5656 0.0000 0.0000
1.7817 6.8056 0.0000
1.7740 1.1648 8.1930
Tb Ta S
2 2 6
direct
0.0876 0.2354 0.0887 Tb
0.9124 0.7646 0.9113 Tb
0.2502 0.3810 0.6196 Ta
0.7498 0.6190 0.3804 Ta
0.1052 0.7448 0.5441 S
0.3229 0.0461 0.8072 S
0.3915 0.5495 0.1659 S
0.6085 0.4505 0.8341 S
0.6771 0.9539 0.1928 S
0.8948 0.2552 0.4559 S
```

Summary:
SG ... P-1 (2)
Polymorph energy (0 for the lowest one) ... 0.000 eV per formula unit
Volume ... 19.88 A^3/atom
Total moment ... 0.000 μB/atom

=====

How do the records compare in DFT total energy? In the order shown, they have -6.918, -3.116, -4.159, -5.331, -2.971, -4.803, -4.714, -7.236 eV per atom.
How do the records compare in theoretical density? In the order shown, they have 3.2, 4.5, 3.3, 10.8, 16.3, 6.7, 9.9, 7.3 g/cm³.